1.
Here is crystalline LiZrAl2 at its relaxed geometry from Alexandria via LeMat-Bulk. Energies are from PBEsol.

Cell lengths 3.932, 3.932, 10.138 Å; angles 101.18, 101.18, 90.00 degrees
Fractional coordinates of all 8 atoms:
Al 0.625 0.623 0.750
Al 0.873 0.375 0.250
Al 0.125 0.127 0.750
Al 0.377 0.875 0.250
Zr 0.000 0.000 0.000
Zr 0.250 0.750 0.500
Li 0.500 0.500 0.000
Li 0.750 0.250 0.500

energy of formation = 0.295 eV/atom
spin magnetization = 0.00 μB/atom
calculated total energy = -4.515 eV/atom

***

2.
Here is crystalline BaScTl2 at its relaxed geometry from Alexandria via LeMat-Bulk. Energies are from PBEsol.

Cell lengths 3.753, 5.437, 6.628 Å; angles 114.21, 106.45, 90.00 degrees
Fractional coordinates of all 4 atoms:
Tl 0.730 0.230 0.460
Tl 0.009 0.009 0.019
Ba 0.493 0.493 0.986
Sc 0.268 0.768 0.535

energy of formation = -0.092 eV/atom
spin magnetization = 0.00 μB/atom
calculated total energy = -3.595 eV/atom

***

3.
Here is crystalline TbMn6Ge6 at its relaxed geometry from Alexandria via LeMat-Bulk. Energies are from PBEsol.

Cell lengths 5.092, 5.092, 8.033 Å; angles 90.00, 90.00, 120.00 degrees
Last column: magnetic moment on the atom in μB.
Fractional coordinates of all 13 atoms:
Mn 0.500 0.500 0.749  1.99
Mn 0.500 0.000 0.749  1.99
Mn 0.000 0.500 0.749  1.99
Mn 0.000 0.500 0.251  1.99
Mn 0.500 0.500 0.251  1.99
Mn 0.500 0.000 0.251  1.99
Ge 0.333 0.667 0.500  -0.09
Ge 0.000 0.000 0.655  -0.09
Ge 0.667 0.333 0.500  -0.09
Ge 0.000 0.000 0.345  -0.09
Ge 0.667 0.333 0.000  -0.09
Ge 0.333 0.667 0.000  -0.09
Tb 0.000 0.000 0.000  -0.24

energy of formation = -0.335 eV/atom
spin magnetization = 0.87 μB/atom
calculated total energy = -7.505 eV/atom

***

4.
Here is crystalline MoW2Se4S2 at its relaxed geometry from Alexandria via LeMat-Bulk. Energies are from PBEsol.

Cell lengths 3.225, 3.225, 20.193 Å; angles 90.00, 90.00, 120.00 degrees
Fractional coordinates of all 9 atoms:
W 0.333 0.667 0.973
W 0.333 0.667 0.330
S 0.000 0.000 0.049
S 0.000 0.000 0.896
Se 0.333 0.667 0.739
Se 0.000 0.000 0.246
Se 0.333 0.667 0.573
Se 0.000 0.000 0.414
Mo 0.000 0.000 0.656

E_form (uncorrected) = -720 meV per atom
spin magnetization = 0.00 μB/atom
calculated total energy = -7.781 eV/atom

***

5.
Here is crystalline SiNiPt2 at its relaxed geometry from Alexandria via LeMat-Bulk. Energies are from PBEsol.

Cell lengths 3.680, 4.052, 4.470 Å; angles 116.95, 114.31, 90.00 degrees
Fractional coordinates of all 4 atoms:
Pt 0.771 0.771 0.543
Pt 0.229 0.229 0.457
Ni 0.000 0.500 0.000
Si 0.500 0.000 0.000

E_form (uncorrected) = -456 meV per atom
spin magnetization = 0.00 μB/atom
calculated total energy = -6.914 eV/atom

***

6.
Here is crystalline SiPIr2 at its relaxed geometry from Alexandria via LeMat-Bulk. Energies are from PBEsol.

Cell lengths 2.777, 4.943, 4.943 Å; angles 60.28, 73.69, 73.69 degrees
Fractional coordinates of all 4 atoms:
Si 0.000 0.500 0.500
Ir 0.749 0.251 0.251
Ir 0.251 0.749 0.749
P 0.500 0.000 0.000

E_form (uncorrected) = 65 meV per atom
spin magnetization = 0.00 μB/atom
distance to the lowest polymorph of the same formula = 227 meV per atom
calculated total energy = -7.731 eV/atom

***

7.
Here is crystalline CeMg3 at its relaxed geometry from Alexandria via LeMat-Bulk. Energies are from PBEsol.

Cell lengths 4.687, 4.687, 4.687 Å; angles 90.00, 90.00, 90.00 degrees
Last column: magnetic moment on the atom in μB.
Fractional coordinates of all 4 atoms:
Mg 0.000 0.500 0.500  0.01
Mg 0.500 0.500 0.000  0.01
Mg 0.500 0.000 0.500  0.01
Ce 0.000 0.000 0.000  0.89

energy of formation = 0.128 eV/atom
spin magnetization = 0.32 μB/atom
calculated total energy = -2.809 eV/atom

***

8.
Here is crystalline AlNi6Sb at its relaxed geometry from Alexandria via LeMat-Bulk. Energies are from PBEsol.

Cell lengths 6.224, 6.224, 10.185 Å; angles 90.00, 90.00, 109.44 degrees
Fractional coordinates of all 32 atoms:
Al 0.500 0.500 0.757
Al 0.500 0.500 0.243
Al 0.250 0.750 0.000
Al 0.750 0.250 0.000
Ni 0.618 0.873 0.121
Ni 0.255 0.745 0.756
Ni 0.873 0.618 0.121
Ni 0.745 0.255 0.756
Ni 0.873 0.618 0.879
Ni 0.255 0.745 0.244
Ni 0.127 0.382 0.879
Ni 0.127 0.382 0.121
Ni 0.618 0.873 0.879
Ni 0.500 0.500 0.500
Ni 0.000 0.000 0.500
Ni 0.623 0.868 0.371
Ni 0.868 0.623 0.629
Ni 0.382 0.127 0.879
Ni 0.868 0.623 0.371
Ni 0.000 0.000 0.000
Ni 0.132 0.377 0.371
Ni 0.132 0.377 0.629
Ni 0.377 0.132 0.629
Ni 0.377 0.132 0.371
Ni 0.745 0.255 0.244
Ni 0.382 0.127 0.121
Ni 0.500 0.500 0.000
Ni 0.623 0.868 0.629
Sb 0.249 0.751 0.500
Sb 0.751 0.249 0.500
Sb 0.000 0.000 0.757
Sb 0.000 0.000 0.243

E_form (uncorrected) = -331 meV per atom
spin magnetization = 0.00 μB/atom
calculated total energy = -6.030 eV/atom

***

9.
Here is crystalline Cd3PtC at its relaxed geometry from Alexandria via LeMat-Bulk. Energies are from PBEsol.

Cell lengths 4.419, 4.419, 4.419 Å; angles 90.00, 90.00, 90.00 degrees
Fractional coordinates of all 5 atoms:
Pt 0.500 0.500 0.500
C 0.000 0.000 0.000
Cd 0.000 0.000 0.500
Cd 0.500 0.000 0.000
Cd 0.000 0.500 0.000

energy of formation = 0.700 eV/atom
spin magnetization = 0.00 μB/atom
calculated total energy = -3.339 eV/atom

***

10.
Here is crystalline Sc3WAu at its relaxed geometry from Alexandria via LeMat-Bulk. Energies are from PBEsol.

Cell lengths 4.975, 4.975, 4.975 Å; angles 90.00, 90.00, 90.00 degrees
Last column: magnetic moment on the atom in μB.
Fractional coordinates of all 5 atoms:
Sc 0.500 0.000 0.000  -0.05
Sc 0.000 0.000 0.500  -0.05
Sc 0.000 0.500 0.000  -0.05
Au 0.000 0.000 0.000  -0.01
W 0.500 0.500 0.500  1.72

energy of formation = 0.926 eV/atom
spin magnetization = 0.42 μB/atom
calculated total energy = -6.583 eV/atom

***

11.
Here is crystalline Ba2TiNiP at its relaxed geometry from Alexandria via LeMat-Bulk. Energies are from PBEsol.

Cell lengths 4.090, 6.206, 6.206 Å; angles 90.00, 90.00, 90.00 degrees
Last column: magnetic moment on the atom in μB.
Fractional coordinates of all 5 atoms:
Ti 0.500 0.500 0.500  2.00
P 0.000 0.000 0.000  -0.01
Ba 0.000 0.000 0.500  0.10
Ba 0.000 0.500 0.000  0.10
Ni 0.500 0.000 0.000  -0.08

energy of formation = 0.207 eV/atom
spin magnetization = 0.65 μB/atom
calculated total energy = -4.707 eV/atom

***

12.
Here is crystalline CaZr2RePd at its relaxed geometry from Alexandria via LeMat-Bulk. Energies are from PBEsol.

Cell lengths 4.846, 4.998, 4.998 Å; angles 90.00, 90.00, 90.00 degrees
Fractional coordinates of all 5 atoms:
Zr 0.000 0.500 0.000
Zr 0.000 0.000 0.500
Ca 0.500 0.500 0.500
Re 0.500 0.000 0.000
Pd 0.000 0.000 0.000

energy of formation = 0.863 eV/atom
spin magnetization = 0.00 μB/atom
calculated total energy = -7.058 eV/atom

***

13.
Here is crystalline Fe2HOs at its relaxed geometry from Alexandria via LeMat-Bulk. Energies are from PBEsol.

Cell lengths 3.870, 3.870, 3.870 Å; angles 60.00, 60.00, 60.00 degrees
Fractional coordinates of all 4 atoms:
H 0.000 0.000 0.000
Fe 0.250 0.250 0.250
Fe 0.750 0.750 0.750
Os 0.500 0.500 0.500

spin magnetization = 0.00 μB/atom
calculated total energy = -7.573 eV/atom

***

14.
Here is crystalline CoTcAuCl2 at its relaxed geometry from Alexandria via LeMat-Bulk. Energies are from PBEsol.

Cell lengths 4.738, 4.738, 5.360 Å; angles 90.00, 90.00, 90.00 degrees
Last column: magnetic moment on the atom in μB.
Fractional coordinates of all 5 atoms:
Cl 0.500 0.000 0.000  0.06
Cl 0.000 0.500 0.000  0.06
Co 0.500 0.500 0.500  2.18
Tc 0.000 0.000 0.500  3.23
Au 0.000 0.000 0.000  0.06

E_form (uncorrected) = 1639 meV per atom
spin magnetization = 1.21 μB/atom
calculated total energy = -3.750 eV/atom

***

15.
Here is crystalline InIr2Rh at its relaxed geometry from Alexandria via LeMat-Bulk. Energies are from PBEsol.

Cell lengths 2.815, 2.815, 7.651 Å; angles 90.00, 90.00, 90.00 degrees
Fractional coordinates of all 4 atoms:
In 0.500 0.500 0.500
Rh 0.500 0.500 0.000
Ir 0.000 0.000 0.767
Ir 0.000 0.000 0.233

energy of formation = 0.080 eV/atom
spin magnetization = 0.00 μB/atom
calculated total energy = -7.612 eV/atom

***

16.
Here is crystalline NaCeAu2 at its relaxed geometry from Alexandria via LeMat-Bulk. Energies are from PBEsol.

Cell lengths 4.984, 4.984, 4.984 Å; angles 60.00, 60.00, 60.00 degrees
Last column: magnetic moment on the atom in μB.
Fractional coordinates of all 4 atoms:
Au 0.250 0.250 0.250  0.01
Au 0.750 0.750 0.750  0.01
Ce 0.500 0.500 0.500  0.74
Na 0.000 0.000 0.000  0.00

energy of formation = -0.402 eV/atom
spin magnetization = 0.22 μB/atom
calculated total energy = -4.362 eV/atom

***

17.
Here is crystalline NiPtRh2 at its relaxed geometry from Alexandria via LeMat-Bulk. Energies are from PBEsol.

Cell lengths 3.755, 3.755, 4.583 Å; angles 114.18, 114.18, 90.00 degrees
Last column: magnetic moment on the atom in μB.
Fractional coordinates of all 4 atoms:
Ni 0.500 0.500 0.000  0.47
Rh 0.000 0.000 0.000  0.17
Rh 0.750 0.250 0.500  0.12
Pt 0.250 0.750 0.500  0.05

energy of formation = -0.021 eV/atom
spin magnetization = 0.20 μB/atom
calculated total energy = -7.371 eV/atom

***

18.
Here is crystalline ThMgAu2 at its relaxed geometry from Alexandria via LeMat-Bulk. Energies are from PBEsol.

Cell lengths 4.775, 4.775, 5.209 Å; angles 62.72, 62.72, 60.00 degrees
Fractional coordinates of all 4 atoms:
Au 0.230 0.230 0.310
Au 0.770 0.770 0.690
Mg 0.500 0.500 0.500
Th 0.000 0.000 0.000

energy of formation = -0.667 eV/atom
spin magnetization = 0.00 μB/atom
calculated total energy = -5.085 eV/atom

***

19.
Here is crystalline InAsCl2 at its relaxed geometry from Alexandria via LeMat-Bulk. Energies are from PBEsol.

Cell lengths 3.175, 4.263, 6.212 Å; angles 90.00, 90.00, 90.00 degrees
Fractional coordinates of all 4 atoms:
As 0.500 0.500 0.500
In 0.500 0.500 0.000
Cl 0.000 0.000 0.259
Cl 0.000 0.000 0.741

E_form (uncorrected) = -14 meV per atom
spin magnetization = 0.00 μB/atom
distance to the lowest polymorph of the same formula = 200 meV per atom
calculated total energy = -3.040 eV/atom

***

20.
Here is crystalline SrPW2 at its relaxed geometry from Alexandria via LeMat-Bulk. Energies are from PBEsol.

Cell lengths 3.236, 3.236, 7.281 Å; angles 90.00, 90.00, 90.00 degrees
Fractional coordinates of all 4 atoms:
W 0.000 0.000 0.074
W 0.500 0.500 0.261
Sr 0.500 0.500 0.733
P 0.000 0.000 0.432

energy of formation = 0.199 eV/atom
spin magnetization = 0.00 μB/atom
calculated total energy = -8.613 eV/atom

***

21.
Here is crystalline ScZn2Br at its relaxed geometry from Alexandria via LeMat-Bulk. Energies are from PBEsol.

Cell lengths 3.447, 3.447, 8.335 Å; angles 78.07, 78.07, 60.00 degrees
Fractional coordinates of all 4 atoms:
Zn 0.732 0.732 0.805
Zn 0.002 0.002 0.994
Sc 0.254 0.254 0.239
Br 0.513 0.513 0.462

E_form (uncorrected) = -376 meV per atom
spin magnetization = 0.00 μB/atom
distance to the lowest polymorph of the same formula = 0 meV per atom
calculated total energy = -3.286 eV/atom

***

22.
Here is crystalline AgIO3 at its relaxed geometry from Alexandria via LeMat-Bulk. Energies are from PBEsol.

Cell lengths 5.605, 7.059, 15.098 Å; angles 90.00, 90.00, 90.00 degrees
Fractional coordinates of all 40 atoms:
O 0.888 0.861 0.292
O 0.691 0.671 0.431
O 0.388 0.139 0.708
O 0.197 0.064 0.071
O 0.888 0.139 0.792
O 0.388 0.861 0.208
O 0.180 0.561 0.401
O 0.691 0.329 0.931
O 0.191 0.671 0.069
O 0.834 0.369 0.305
O 0.697 0.064 0.429
O 0.834 0.631 0.805
O 0.680 0.439 0.599
O 0.678 0.163 0.109
O 0.334 0.631 0.695
O 0.678 0.837 0.609
O 0.697 0.936 0.929
O 0.334 0.369 0.195
O 0.178 0.837 0.891
O 0.197 0.936 0.571
O 0.178 0.163 0.391
O 0.680 0.561 0.099
O 0.191 0.329 0.569
O 0.180 0.439 0.901
I 0.972 0.639 0.917
I 0.412 0.866 0.087
I 0.472 0.361 0.083
I 0.412 0.134 0.587
I 0.972 0.361 0.417
I 0.912 0.134 0.913
I 0.472 0.639 0.583
I 0.912 0.866 0.413
Ag 0.488 0.402 0.796
Ag 0.998 0.870 0.707
Ag 0.998 0.130 0.207
Ag 0.498 0.130 0.293
Ag 0.488 0.598 0.296
Ag 0.988 0.402 0.704
Ag 0.988 0.598 0.204
Ag 0.498 0.870 0.793

E_form (uncorrected) = -291 meV per atom
spin magnetization = 0.00 μB/atom
calculated total energy = -4.457 eV/atom

***

23.
Here is crystalline MnCo2Ru at its relaxed geometry from Alexandria via LeMat-Bulk. Energies are from PBEsol.

Cell lengths 2.533, 2.533, 8.226 Å; angles 81.14, 81.14, 60.00 degrees
Last column: magnetic moment on the atom in μB.
Fractional coordinates of all 4 atoms:
Co 0.004 0.004 0.989  1.47
Co 0.750 0.750 0.750  1.32
Ru 0.248 0.248 0.256  0.02
Mn 0.498 0.498 0.505  -0.33

energy of formation = 0.155 eV/atom
spin magnetization = 0.61 μB/atom
distance to the lowest polymorph of the same formula = 44 meV per atom
calculated total energy = -8.697 eV/atom

***

24.
Here is crystalline AgPtSe at its relaxed geometry from Alexandria via LeMat-Bulk. Energies are from PBEsol.

Cell lengths 4.340, 4.340, 4.340 Å; angles 60.00, 60.00, 60.00 degrees
Fractional coordinates of all 3 atoms:
Ag 0.500 0.500 0.500
Pt 0.250 0.250 0.250
Se 0.000 0.000 0.000

E_form (uncorrected) = 155 meV per atom
spin magnetization = 0.00 μB/atom
calculated total energy = -4.553 eV/atom

***

25.
Here is crystalline TlS2IN at its relaxed geometry from Alexandria via LeMat-Bulk. Energies are from PBEsol.

Cell lengths 4.247, 5.219, 5.219 Å; angles 90.00, 90.00, 90.00 degrees
Last column: magnetic moment on the atom in μB.
Fractional coordinates of all 5 atoms:
S 0.000 0.500 0.000  0.10
S 0.000 0.000 0.500  0.10
Tl 0.000 0.000 0.000  0.00
N 0.500 0.000 0.000  1.09
I 0.500 0.500 0.500  0.04

E_form (uncorrected) = 1292 meV per atom
spin magnetization = 0.38 μB/atom
calculated total energy = -3.047 eV/atom